Here is a relaxed Li3Fe3O8 crystal from Alexandria via LeMat-Bulk. Energies are from PBE+U.

Cell: 5.772 5.818 5.860 Å, 119.50 119.27 90.02°
Sites, in units of the cell vectors:
Li1 0.000 0.000 0.000
Li2 0.395 0.153 0.778
Li3 0.605 0.847 0.222
Fe1 0.000 0.500 0.000
Fe2 0.000 0.500 0.500
Fe3 0.500 0.500 0.500
O1 0.199 0.703 0.945
O2 0.251 0.281 0.491
O3 0.256 0.294 0.051
O4 0.256 0.727 0.506
O5 0.744 0.273 0.494
O6 0.744 0.706 0.949
O7 0.749 0.719 0.509
O8 0.801 0.297 0.055

Total energy, hartree per atom: -0.2109
Space-group type: P-1
Polymorph energy (0 for the lowest one), meV/atom: 0